MnCo3Hg: PBEsol geometry, meta-GGA SCAN.

The density of states at the Fermi level is 0.612 states/eV per atom. The total energy comes out at -26.12 eV/atom. The energy of formation from the pure elements is 1.55 eV/atom.

It has space group Pm-3m (No. 221), with a = 4.6426 Å, b = 4.6426 Å, c = 4.6426 Å, α = 90.00°, β = 90.00° and γ = 90.00°. The asymmetric unit holds Mn at (0.0000, 0.0000, 0.0000), Co at (0.0000, 0.5000, 0.5000) and Hg at (0.5000, 0.5000, 0.5000).



MnCoHg2: PBEsol geometry, meta-GGA SCAN.

The density of states at the Fermi level is 0.411 states/eV per atom. The relative energy among the computed polymorphs is 0 meV/atom. The total energy comes out at -42.86 eV/atom. The energy of formation from the pure elements is 0.11 eV/atom.

It has space group Pm (No. 6), with a = 2.9937 Å, b = 2.9947 Å, c = 7.1299 Å, α = 90.00°, β = 90.26° and γ = 90.00°. The asymmetric unit holds Mn at (0.0000, 0.0000, 0.0000), Co at (0.4984, 0.5000, 0.8369), Hg at (0.5027, 0.5000, 0.2609) and Hg at (0.9963, 0.0000, 0.5906).



MnCoHg: PBEsol geometry, meta-GGA SCAN.

The density of states at the Fermi level is 0.565 states/eV per atom. The total energy comes out at -34.06 eV/atom. The energy of formation from the pure elements is 0.51 eV/atom.

It has space group F-43m (No. 216), with a = 5.9647 Å, b = 5.9647 Å, c = 5.9647 Å, α = 90.00°, β = 90.00° and γ = 90.00°. The asymmetric unit holds Mn at (0.0000, 0.0000, 0.0000), Co at (0.0000, 0.0000, 0.5000) and Hg at (0.2500, 0.2500, 0.2500).



MnCo2Hg: PBEsol geometry, meta-GGA SCAN.

The density of states at the Fermi level is 0.570 states/eV per atom. The total energy comes out at -30.12 eV/atom. The energy of formation from the pure elements is 0.14 eV/atom.

It has space group F-43m (No. 216), with a = 5.9857 Å, b = 5.9857 Å, c = 5.9857 Å, α = 90.00°, β = 90.00° and γ = 90.00°. The asymmetric unit holds Mn at (0.0000, 0.0000, 0.0000), Co at (0.0000, 0.0000, 0.5000), Co at (0.2500, 0.2500, 0.7500) and Hg at (0.2500, 0.2500, 0.2500).



CoHg2Mo: PBEsol geometry, meta-GGA SCAN.

The density of states at the Fermi level is 0.403 states/eV per atom. The total energy comes out at -46.46 eV/atom. The energy of formation from the pure elements is 0.67 eV/atom.

It has space group I4/mmm (No. 139), with a = 4.0339 Å, b = 4.0339 Å, c = 8.0617 Å, α = 90.00°, β = 90.00° and γ = 90.00°. The asymmetric unit holds Co at (0.0000, 0.0000, 0.0000), Hg at (0.0000, 0.5000, 0.2500) and Mo at (0.0000, 0.0000, 0.5000).



ZrCoHgMo2: PBEsol geometry, meta-GGA SCAN.

The density of states at the Fermi level is 0.849 states/eV per atom. The total energy comes out at -35.12 eV/atom. The energy of formation from the pure elements is 2.07 eV/atom.

It has space group P4/mmm (No. 123), with a = 4.6524 Å, b = 4.6524 Å, c = 5.2083 Å, α = 90.00°, β = 90.00° and γ = 90.00°. The asymmetric unit holds Zr at (0.0000, 0.0000, 0.0000), Co at (0.5000, 0.5000, 0.5000), Hg at (0.0000, 0.0000, 0.5000) and Mo at (0.0000, 0.5000, 0.0000).